No. 1
Compound: Cs3Li5I12
Source: Alexandria
Functional: PBE
Structure: relaxed

Lattice parameters (Å, degrees): 19.095 19.095 19.095 90.00 90.00 90.00
Space group Ia-3d (No. 230)
One atom of each set of equivalent atoms:
Cs 0.000 0.250 0.125 (multiplicity 24)
Li 0.000 0.000 0.000 (multiplicity 16)
Li 0.000 0.250 0.375 (multiplicity 24)
I 0.051 0.058 0.639 (multiplicity 96)



No. 2
Compound: Cs4LiI5
Source: Alexandria
Functional: PBE
Structure: relaxed

Lattice parameters (Å, degrees): 11.779 11.779 7.821 90.00 90.00 90.00
Space group I4 (No. 79)
One atom of each set of equivalent atoms:
Cs 0.090 0.700 0.000 (multiplicity 8)
Li 0.000 0.000 0.568 (multiplicity 2)
I 0.000 0.000 0.919 (multiplicity 2)
I 0.087 0.739 0.497 (multiplicity 8)



No. 3
Compound: Cs5Li2I6
Source: Alexandria
Functional: PBE
Structure: relaxed

Lattice parameters (Å, degrees): 15.319 19.527 5.113 90.00 90.00 90.00
Space group Pbam (No. 55)
One atom of each set of equivalent atoms:
Cs 0.000 0.000 0.000 (multiplicity 2)
Cs 0.135 0.464 0.000 (multiplicity 4)
Cs 0.166 0.727 0.000 (multiplicity 4)
Li 0.089 0.285 0.500 (multiplicity 4)
I 0.044 0.610 0.500 (multiplicity 4)
I 0.077 0.216 0.000 (multiplicity 4)
I 0.249 0.855 0.500 (multiplicity 4)



No. 4
Compound: CsLiI2
Source: Alexandria
Functional: PBE
Structure: relaxed

Lattice parameters (Å, degrees): 4.682 20.867 13.808 90.00 90.00 90.00
Space group Cmc2_1 (No. 36)
One atom of each set of equivalent atoms:
Cs 0.000 0.011 0.000 (multiplicity 4)
Cs 0.000 0.156 0.278 (multiplicity 4)
Li 0.000 0.222 0.978 (multiplicity 4)
Li 0.000 0.371 0.213 (multiplicity 4)
I 0.000 0.191 0.783 (multiplicity 4)
I 0.000 0.338 0.547 (multiplicity 4)
I 0.000 0.354 0.009 (multiplicity 4)
I 0.000 0.500 0.258 (multiplicity 4)



No. 5
Compound: CsLiI2
Source: Alexandria
Functional: PBE
Structure: relaxed

Lattice parameters (Å, degrees): 4.6980 4.6980 25.6991 90.00 90.00 120.00
Space group R3m (No. 160, hexagonal axes)
One atom of each set of equivalent atoms:
Cs 0.0000 0.0000 0.0000 (multiplicity 3)
Li 0.0000 0.0000 0.1688 (multiplicity 3)
I 0.0000 0.0000 0.5634 (multiplicity 3)
I 0.0000 0.0000 0.7707 (multiplicity 3)



No. 6
Compound: CsLiI
Source: Alexandria
Functional: PBE
Structure: relaxed

Lattice parameters (Å, degrees): 10.698 7.707 7.283 90.00 109.35 90.00
Space group P2_1/c (No. 14)
One atom of each set of equivalent atoms:
Cs 0.188 0.086 0.351 (multiplicity 4)
Li 0.428 0.750 0.221 (multiplicity 4)
I 0.212 0.591 0.363 (multiplicity 4)



No. 7
Compound: Cs2LiI7
Source: Alexandria
Functional: PBE
Structure: relaxed

Lattice parameters (Å, degrees): 8.682 8.682 13.142 90.00 90.00 90.00
Space group I4/mmm (No. 139)
One atom of each set of equivalent atoms:
Cs 0.000 0.500 0.250 (multiplicity 4)
Li 0.000 0.000 0.000 (multiplicity 2)
I 0.000 0.000 0.200 (multiplicity 4)
I 0.000 0.000 0.500 (multiplicity 2)
I 0.240 0.240 0.500 (multiplicity 8)



No. 8
Compound: Cs2LiI4
Source: Alexandria
Functional: PBE
Structure: relaxed

Lattice parameters (Å, degrees): 5.675 5.675 20.249 90.00 90.00 90.00
Space group I4/mmm (No. 139)
One atom of each set of equivalent atoms:
Cs 0.000 0.000 0.146 (multiplicity 4)
Li 0.000 0.000 0.500 (multiplicity 2)
I 0.000 0.000 0.339 (multiplicity 4)
I 0.000 0.500 0.000 (multiplicity 4)



No. 9
Compound: Cs3LiI4
Source: Alexandria
Functional: PBE
Structure: relaxed

Lattice parameters (Å, degrees): 5.118 15.520 12.068 90.00 90.00 90.00
Space group Pmmn (No. 59, origin choice 2)
One atom of each set of equivalent atoms:
Cs 0.250 0.085 0.179 (multiplicity 4)
Cs 0.250 0.750 0.365 (multiplicity 2)
Li 0.250 0.250 0.918 (multiplicity 2)
I 0.250 0.099 0.803 (multiplicity 4)
I 0.250 0.250 0.404 (multiplicity 2)
I 0.250 0.750 0.960 (multiplicity 2)

Distance to the lowest polymorph of the same formula, meV/atom: 34



No. 10
Compound: Cs3Li2I7
Source: Alexandria
Functional: PBE
Structure: relaxed

Lattice parameters (Å, degrees): 5.540 36.409 5.355 90.00 90.00 90.00
Space group Cmmm (No. 65)
One atom of each set of equivalent atoms:
Cs 0.000 0.000 0.000 (multiplicity 2)
Cs 0.000 0.184 0.000 (multiplicity 4)
Li 0.000 0.376 0.500 (multiplicity 4)
I 0.000 0.098 0.500 (multiplicity 4)
I 0.000 0.301 0.500 (multiplicity 4)
I 0.000 0.404 0.000 (multiplicity 4)
I 0.000 0.500 0.500 (multiplicity 2)



No. 11
Compound: CsLi2I4
Source: Alexandria
Functional: PBE
Structure: relaxed

Lattice parameters (Å, degrees): 6.896 6.896 16.639 90.00 90.00 90.00
Space group I4/mmm (No. 139)
One atom of each set of equivalent atoms:
Cs 0.000 0.000 0.000 (multiplicity 2)
Li 0.000 0.000 0.396 (multiplicity 4)
I 0.000 0.000 0.241 (multiplicity 4)
I 0.000 0.500 0.000 (multiplicity 4)



No. 12
Compound: CsLiI2
Source: Alexandria
Functional: PBE
Structure: relaxed

Lattice parameters (Å, degrees): 8.723 8.723 8.723 90.00 90.00 90.00
Space group Fm-3m (No. 225)
One atom of each set of equivalent atoms:
Cs 0.000 0.000 0.000 (multiplicity 4)
Li 0.000 0.000 0.500 (multiplicity 4)
I 0.250 0.250 0.250 (multiplicity 8)



No. 13
Compound: Cs2LiMgI5
Source: Alexandria
Functional: PBE
Structure: relaxed

Lattice parameters (Å, degrees): 4.666 22.781 15.449 90.00 90.00 90.00
Space group Cmc2_1 (No. 36)
One atom of each set of equivalent atoms:
Cs 0.000 0.120 0.000 (multiplicity 4)
Cs 0.000 0.126 0.613 (multiplicity 4)
Li 0.000 0.421 0.746 (multiplicity 4)
Mg 0.000 0.209 0.327 (multiplicity 4)
I 0.000 0.082 0.344 (multiplicity 4)
I 0.000 0.286 0.954 (multiplicity 4)
I 0.000 0.302 0.692 (multiplicity 4)
I 0.000 0.334 0.308 (multiplicity 4)
I 0.000 0.492 0.605 (multiplicity 4)



No. 14
Compound: CsLi2MgI6
Source: Alexandria
Functional: PBE
Structure: relaxed

Lattice parameters (Å, degrees): 15.465 16.340 9.541 90.00 120.26 90.00
Space group C2/c (No. 15)
One atom of each set of equivalent atoms:
Cs 0.000 0.132 0.250 (multiplicity 4)
Li 0.165 0.420 0.081 (multiplicity 8)
Mg 0.000 0.174 0.750 (multiplicity 4)
I 0.106 0.259 0.034 (multiplicity 8)
I 0.121 0.470 0.329 (multiplicity 8)
I 0.128 0.069 0.711 (multiplicity 8)



No. 15
Compound: CsLiMg2I6
Source: Alexandria
Functional: PBE
Structure: relaxed

Lattice parameters (Å, degrees): 15.573 15.979 8.596 90.00 110.33 90.00
Space group C2/c (No. 15)
One atom of each set of equivalent atoms:
Cs 0.000 0.128 0.250 (multiplicity 4)
Li 0.000 0.211 0.750 (multiplicity 4)
Mg 0.191 0.428 0.184 (multiplicity 8)
I 0.117 0.279 0.042 (multiplicity 8)
I 0.121 0.082 0.707 (multiplicity 8)
I 0.136 0.439 0.463 (multiplicity 8)



No. 16
Compound: Cs3LiMg2I9
Source: Alexandria
Functional: PBE
Structure: relaxed

Lattice parameters (Å, degrees): 8.3686 8.3686 10.2753 90.00 90.00 120.00
Space group P-3m1 (No. 164)
One atom of each set of equivalent atoms:
Cs 0.0000 0.0000 0.0000 (multiplicity 1)
Cs 0.3333 0.6667 0.6633 (multiplicity 2)
Li 0.0000 0.0000 0.5000 (multiplicity 1)
Mg 0.3333 0.6667 0.1747 (multiplicity 2)
I 0.0000 0.5000 0.0000 (multiplicity 3)
I 0.1679 0.3357 0.3296 (multiplicity 6)



No. 17
Compound: CsLiMnI4
Source: Alexandria
Functional: PBE
Structure: relaxed

Lattice parameters (Å, degrees): 6.946 8.347 10.827 90.00 106.65 90.00
Space group P2_1/m (No. 11)
One atom of each set of equivalent atoms:
Cs 0.215 0.250 0.397 (multiplicity 2)
Li 0.383 0.250 0.994 (multiplicity 2)
Mn 0.306 0.750 0.197 (multiplicity 2)
I 0.004 0.750 0.981 (multiplicity 2)
I 0.204 0.750 0.417 (multiplicity 2)
I 0.438 0.003 0.801 (multiplicity 4)



| no. | total moment (μB/atom) | E_form (uncorrected) (eV/f.u.) | calculated density (g cm⁻³) |
| --- | --- | --- | --- |
| 1 | 0.217 | -17.924 | 3.73 |
| 2 | 0.000 | -14.324 | 3.59 |
| 3 | 0.000 | -16.661 | 3.13 |
| 4 | 0.000 | -5.465 | 3.88 |
| 5 | 0.000 | -5.125 | 3.99 |
| 6 | 0.000 | -2.282 | 3.13 |
| 7 | 0.000 | -7.761 | 3.89 |
| 8 | 0.003 | -7.902 | 3.97 |
| 9 | 0.000 | -11.336 | 3.16 |
| 10 | 0.048 | -12.823 | 4.00 |
| 11 | 0.126 | -4.882 | 2.75 |
| 12 | 0.000 | -4.395 | 3.94 |
| 13 | 0.000 | -11.633 | 3.77 |
| 14 | 0.101 | -10.361 | 2.97 |
| 15 | 0.000 | -11.361 | 3.15 |
| 16 | 0.000 | -17.187 | 4.25 |
| 17 | 0.714 | -6.818 | 3.88 |